# 1
Density functional theory data (PBE) for Ho4Er3Co4 after structural relaxation.

a = 9.0468 Å, b = 9.0468 Å, c = 9.0468 Å
α = 157.27°, β = 122.30°, γ = 62.82°
With the nearest neighbours (Å) after each atom.
Element x y z (fractional)
1 Ho 0.0203 0.8348 0.1855  3 Co 2.70-2.76
2 Ho 0.3508 0.1652 0.1855  3 Co 2.70-2.76
3 Ho 0.6492 0.8348 0.8145  3 Co 2.70-2.76
4 Ho 0.9797 0.1652 0.8145  3 Co 2.70-2.76
5 Er 0.0000 0.5000 0.5000  4 Co 3.07
6 Er 0.3967 0.3967 0.0000  6 Co 2.86-3.03, 1 Er 3.19
7 Er 0.6033 0.6033 0.0000  6 Co 2.86-3.03, 1 Er 3.19
8 Co 0.2522 0.7522 0.5000  6 Ho 2.76-3.03, 2 Er 2.86
9 Co 0.2869 0.0000 0.2869  2 Ho 2.70
10 Co 0.7131 0.0000 0.7131  2 Ho 2.70
11 Co 0.7478 0.2478 0.5000  6 Ho 2.76-3.03, 2 Er 2.86

Results
E: -61.68 eV for the cell shown
formation energy: -114.6 meV/atom
mass density: 9.66 g/cm³
crystal system: orthorhombic



# 2
Density functional theory data (PBE) for HoErCo4 after structural relaxation.

a = 5.0445 Å, b = 5.0445 Å, c = 5.0445 Å
α = 60.00°, β = 60.00°, γ = 60.00°
With the nearest neighbours (Å) after each atom.
Element x y z (fractional)
1 Ho 0.0000 0.0000 0.0000  12 Co 2.96, 4 Er 3.09
2 Er 0.7500 0.7500 0.7500  12 Co 2.96, 4 Ho 3.09
3 Co 0.3751 0.3751 0.3751  6 Co 2.52
4 Co 0.3751 0.3751 0.8748  6 Co 2.52
5 Co 0.3751 0.8748 0.3751  6 Co 2.52
6 Co 0.8748 0.3751 0.3751  6 Co 2.52

Results
E: -38.98 eV for the cell shown
formation energy: -235.5 meV/atom
mass density: 10.39 g/cm³
crystal system: cubic



# 3
Density functional theory data (PBE) for Ho2Er5Co2 after structural relaxation.

a = 10.3038 Å, b = 10.3038 Å, c = 6.9279 Å
α = 90.00°, β = 90.00°, γ = 39.64°
With the nearest neighbours (Å) after each atom.
Element x y z (fractional)
1 Ho 0.2323 0.2323 0.0000  6 Er 3.53-3.59, 4 Ho 3.53-3.56
2 Ho 0.2677 0.2677 0.5000  6 Er 3.53-3.59, 4 Ho 3.53-3.56
3 Ho 0.7323 0.7323 0.5000  6 Er 3.53-3.59, 4 Ho 3.53-3.56
4 Ho 0.7677 0.7677 0.0000  6 Er 3.53-3.59, 4 Ho 3.53-3.56
5 Er 0.0000 0.0000 0.0000  4 Co 2.80-2.81
6 Er 0.0744 0.7128 0.6776  3 Co 2.91-2.95
7 Er 0.2128 0.5744 0.1776  3 Co 2.91-2.95
8 Er 0.2872 0.9256 0.6776  3 Co 2.91-2.95
9 Er 0.4256 0.7872 0.1776  3 Co 2.91-2.95
10 Er 0.5000 0.5000 0.5000  4 Co 2.80-2.81
11 Er 0.5744 0.2128 0.8224  3 Co 2.91-2.95
12 Er 0.7128 0.0744 0.3224  3 Co 2.91-2.95
13 Er 0.7872 0.4256 0.8224  3 Co 2.91-2.95
14 Er 0.9256 0.2872 0.3224  3 Co 2.91-2.95
15 Co 0.1143 0.8857 0.3895  1 Co 2.21
16 Co 0.3857 0.6143 0.8895  1 Co 2.21
17 Co 0.6143 0.3857 0.1105  1 Co 2.21
18 Co 0.8857 0.1143 0.6105  1 Co 2.21

Results
E: -93.74 eV for the cell shown
formation energy: -76.6 meV/atom
mass density: 9.09 g/cm³
crystal system: orthorhombic



# 4
Density functional theory data (PBE) for Ho4ErCo2 after structural relaxation.

a = 7.5960 Å, b = 6.2881 Å, c = 7.7039 Å
α = 90.00°, β = 112.97°, γ = 90.00°
With the nearest neighbours (Å) after each atom.
Element x y z (fractional)
1 Ho 0.1245 0.2500 0.4800  2 Co 2.63-2.77
2 Ho 0.1741 0.7500 0.2506  2 Co 2.63-2.82
3 Ho 0.2596 0.5020 0.9125  4 Co 2.88-3.00, 2 Ho 3.12-3.17
4 Ho 0.2596 0.9980 0.9125  4 Co 2.88-3.00, 2 Ho 3.12-3.17
5 Ho 0.7404 0.0020 0.0875  4 Co 2.88-3.00, 2 Ho 3.12-3.17
6 Ho 0.7404 0.4980 0.0875  4 Co 2.88-3.00, 2 Ho 3.12-3.17
7 Ho 0.8259 0.2500 0.7494  2 Co 2.63-2.82
8 Ho 0.8755 0.7500 0.5200  2 Co 2.63-2.77
9 Er 0.4723 0.2500 0.3352  1 Co 2.70
10 Er 0.5277 0.7500 0.6648  1 Co 2.70
11 Co 0.0920 0.2500 0.1275  4 Ho 2.63-2.92, 1 Er 2.70
12 Co 0.4867 0.2500 0.7660  6 Ho 2.63-2.92
13 Co 0.5133 0.7500 0.2340  6 Ho 2.63-2.92
14 Co 0.9080 0.7500 0.8725  4 Ho 2.63-2.92, 1 Er 2.70

Results
E: -75.13 eV for the cell shown
formation energy: -68.3 meV/atom
mass density: 9.26 g/cm³
crystal system: monoclinic



# 5
Density functional theory data (PBE) for HoErCo10 after structural relaxation.

a = 3.9475 Å, b = 4.8982 Å, c = 8.4892 Å
α = 90.00°, β = 90.00°, γ = 90.00°
With the nearest neighbours (Å) after each atom.
Element x y z (fractional)
1 Ho 0.0000 0.0000 0.0000  18 Co 2.83-3.15
2 Er 0.0000 0.5000 0.5000  18 Co 2.82-3.15
3 Co 0.0000 0.0000 0.3336  6 Co 2.43
4 Co 0.0000 0.0000 0.6664  6 Co 2.43
5 Co 0.0000 0.5000 0.1679  6 Co 2.43
6 Co 0.0000 0.5000 0.8321  6 Co 2.43
7 Co 0.5000 0.0000 0.5000  8 Co 2.43-2.45
8 Co 0.5000 0.2503 0.2505  8 Co 2.43-2.45
9 Co 0.5000 0.2503 0.7495  8 Co 2.43-2.45
10 Co 0.5000 0.5000 0.0000  8 Co 2.43-2.45
11 Co 0.5000 0.7497 0.2505  8 Co 2.43-2.45
12 Co 0.5000 0.7497 0.7495  8 Co 2.43-2.45

Results
E: -81.65 eV for the cell shown
formation energy: -121.1 meV/atom
mass density: 9.32 g/cm³
crystal system: orthorhombic



# 6
Density functional theory data (PBE) for Ho3ErCo8 after structural relaxation.

a = 8.7469 Å, b = 8.7469 Å, c = 8.7469 Å
α = 33.54°, β = 33.54°, γ = 33.54°
With the nearest neighbours (Å) after each atom.
Element x y z (fractional)
1 Ho 0.0000 0.0000 0.0000  12 Co 2.96, 3 Er 3.09, 1 Ho 3.09
2 Ho 0.1251 0.1251 0.1251  12 Co 2.96, 4 Ho 3.09
3 Ho 0.5001 0.5001 0.5001  12 Co 2.96-2.97, 3 Ho 3.09, 1 Er 3.09
4 Er 0.6251 0.6251 0.6251  12 Co 2.96, 4 Ho 3.09
5 Co 0.0620 0.5626 0.5626  6 Co 2.52-2.53
6 Co 0.0626 0.0626 0.5629  6 Co 2.52-2.53
7 Co 0.0626 0.5629 0.0626  6 Co 2.52-2.53
8 Co 0.3125 0.3125 0.3125  6 Co 2.52
9 Co 0.5626 0.0620 0.5626  6 Co 2.52-2.53
10 Co 0.5629 0.0626 0.0626  6 Co 2.52-2.53
11 Co 0.5626 0.5626 0.0620  6 Co 2.52-2.53
12 Co 0.8126 0.8126 0.8126  6 Co 2.53

Results
E: -77.88 eV for the cell shown
formation energy: -228.3 meV/atom
mass density: 10.35 g/cm³
crystal system: trigonal



# 7
Density functional theory data (PBE) for Ho3Er4Co2 after structural relaxation.

a = 8.2730 Å, b = 8.2730 Å, c = 8.8416 Å
α = 112.57°, β = 112.57°, γ = 25.06°
With the nearest neighbours (Å) after each atom.
Element x y z (fractional)
1 Ho 0.0000 0.0000 0.0000  4 Co 2.84
2 Ho 0.0723 0.0723 0.6921  2 Co 2.68
3 Ho 0.9277 0.9277 0.3079  2 Co 2.68
4 Er 0.2287 0.2287 0.1465  3 Co 2.69-2.84
5 Er 0.3628 0.3628 0.6056  7 Er 3.57-3.82, 6 Ho 3.64-3.77, 1 Co 3.94
6 Er 0.6372 0.6372 0.3944  7 Er 3.57-3.82, 6 Ho 3.64-3.77, 1 Co 3.94
7 Er 0.7713 0.7713 0.8535  3 Co 2.69-2.84
8 Co 0.3813 0.3813 0.0634  4 Ho 2.68-2.84, 3 Er 2.69-2.84
9 Co 0.6187 0.6187 0.9366  4 Ho 2.68-2.84, 3 Er 2.69-2.84

Results
E: -47.21 eV for the cell shown
formation energy: -112.4 meV/atom
mass density: 9.03 g/cm³
crystal system: monoclinic



# 8
Density functional theory data (PBE) for HoErCo after structural relaxation.

a = 6.6870 Å, b = 6.6870 Å, c = 6.6790 Å
α = 104.45°, β = 104.45°, γ = 28.92°
With the nearest neighbours (Å) after each atom.
Element x y z (fractional)
1 Ho 0.1286 0.1286 0.0644  4 Co 2.86
2 Ho 0.8714 0.8714 0.9356  4 Co 2.86
3 Er 0.1282 0.1282 0.5640  4 Co 2.85
4 Er 0.8718 0.8718 0.4360  4 Co 2.85
5 Co 0.4999 0.4999 0.2513  4 Er 2.85, 4 Ho 2.86
6 Co 0.5001 0.5001 0.7487  4 Er 2.85, 4 Ho 2.86

Results
relative energy among the computed polymorphs: 1 meV/atom
E: -33.35 eV for the cell shown
formation energy: -142.1 meV/atom
mass density: 9.31 g/cm³
crystal system: monoclinic



# 9
Density functional theory data (PBE) for Ho3Er4Co4 after structural relaxation.

a = 9.0282 Å, b = 9.0282 Å, c = 9.0282 Å
α = 157.16°, β = 122.31°, γ = 62.87°
With the nearest neighbours (Å) after each atom.
Element x y z (fractional)
1 Ho 0.0000 0.0000 0.0000  4 Co 3.07
2 Ho 0.3964 0.8964 0.5000  6 Co 2.86-3.03, 1 Ho 3.19
3 Ho 0.6036 0.1036 0.5000  6 Co 2.86-3.03, 1 Ho 3.19
4 Er 0.0197 0.3343 0.6855  4 Co 2.70-3.02
5 Er 0.3512 0.6657 0.6855  4 Co 2.70-3.02
6 Er 0.6488 0.3343 0.3145  4 Co 2.70-3.02
7 Er 0.9803 0.6657 0.3145  4 Co 2.70-3.02
8 Co 0.2513 0.2513 0.0000  6 Er 2.75-3.02, 2 Ho 2.86
9 Co 0.2862 0.5000 0.7862  2 Er 2.70
10 Co 0.7138 0.5000 0.2138  2 Er 2.70
11 Co 0.7487 0.7487 0.0000  6 Er 2.75-3.02, 2 Ho 2.86

Results
E: -61.76 eV for the cell shown
formation energy: -122.7 meV/atom
mass density: 9.68 g/cm³
crystal system: orthorhombic



# 10
Density functional theory data (PBE) for HoEr2Co2 after structural relaxation.

a = 7.1231 Å, b = 7.1231 Å, c = 4.1453 Å
α = 90.00°, β = 90.00°, γ = 90.00°
With the nearest neighbours (Å) after each atom.
Element x y z (fractional)
1 Ho 0.0000 0.0000 0.0000  4 Co 2.88
2 Ho 0.5000 0.5000 0.0000  4 Co 2.88
3 Er 0.1723 0.3277 0.5000  6 Co 2.93-3.00
4 Er 0.3277 0.8277 0.5000  6 Co 2.93-3.00
5 Er 0.6723 0.1723 0.5000  6 Co 2.93-3.00
6 Er 0.8277 0.6723 0.5000  6 Co 2.93-3.00
7 Co 0.1119 0.6119 0.0000  1 Co 2.25
8 Co 0.3881 0.1119 0.0000  1 Co 2.25
9 Co 0.6119 0.8881 0.0000  1 Co 2.25
10 Co 0.8881 0.3881 0.0000  1 Co 2.25

Results
relative energy among the computed polymorphs: 0 meV/atom
E: -57.66 eV for the cell shown
formation energy: -182.8 meV/atom
mass density: 9.75 g/cm³
crystal system: tetragonal



# 11
Density functional theory data (PBE) for HoEr3Co4 after structural relaxation.

a = 4.6723 Å, b = 4.6723 Å, c = 6.6387 Å
α = 90.00°, β = 90.00°, γ = 90.00°
With the nearest neighbours (Å) after each atom.
Element x y z (fractional)
1 Ho 0.0000 0.0000 0.0000  8 Co 2.87
2 Er 0.0000 0.0000 0.5000  8 Co 2.86
3 Er 0.5000 0.5000 0.0000  8 Co 2.87
4 Er 0.5000 0.5000 0.5000  8 Co 2.86
5 Co 0.0000 0.5000 0.2506  6 Er 2.86-2.87, 2 Ho 2.87
6 Co 0.0000 0.5000 0.7494  6 Er 2.86-2.87, 2 Ho 2.87
7 Co 0.5000 0.0000 0.2506  6 Er 2.86-2.87, 2 Ho 2.87
8 Co 0.5000 0.0000 0.7494  6 Er 2.86-2.87, 2 Ho 2.87

Results
E: -48.22 eV for the cell shown
formation energy: -190.7 meV/atom
mass density: 10.34 g/cm³
crystal system: tetragonal



# 12
Density functional theory data (PBE) for Ho12ErCo5 after structural relaxation.

a = 8.3190 Å, b = 8.3190 Å, c = 8.3190 Å
α = 111.14°, β = 110.51°, γ = 106.80°
With the nearest neighbours (Å) after each atom.
Element x y z (fractional)
1 Ho 0.0110 0.2022 0.8088  2 Co 2.66-2.70
2 Ho 0.1825 0.2918 0.4744  2 Co 2.84
3 Ho 0.1825 0.7082 0.8907  2 Co 2.84
4 Ho 0.3142 0.0025 0.6883  3 Co 2.67-2.82
5 Ho 0.3142 0.6260 0.3117  3 Co 2.67-2.82
6 Ho 0.3934 0.2022 0.1912  2 Co 2.66-2.70
7 Ho 0.6066 0.7978 0.8088  2 Co 2.66-2.70
8 Ho 0.6858 0.3740 0.6883  3 Co 2.67-2.82
9 Ho 0.6858 0.9975 0.3117  3 Co 2.67-2.82
10 Ho 0.8175 0.2918 0.1093  2 Co 2.84
11 Ho 0.8175 0.7082 0.5256  2 Co 2.84
12 Ho 0.9890 0.7978 0.1912  2 Co 2.66-2.70
13 Er 0.5000 0.5000 0.0000  12 Ho 3.46-3.59
14 Co 0.0000 0.0000 0.0000  4 Ho 2.70
15 Co 0.1127 0.6127 0.5000  1 Co 2.24
16 Co 0.3747 0.0000 0.3747  1 Co 2.38, 2 Ho 2.66
17 Co 0.6253 0.0000 0.6253  1 Co 2.38, 2 Ho 2.66
18 Co 0.8873 0.3873 0.5000  1 Co 2.24

Results
E: -97.43 eV for the cell shown
formation energy: -133.3 meV/atom
mass density: 9.16 g/cm³
crystal system: orthorhombic